Record 1
The following is a GGA-PBE calculation of a geometry-optimized LiP4W6 structure, from OQMD. Values from VASP.

Quantum ESPRESSO input file:
```
&SYSTEM
  ibrav = 0, nat = 11, ntyp = 3
/
ATOMIC_SPECIES
Li 6.94 Li.upf
P 30.97 P.upf
W 183.84 W.upf
CELL_PARAMETERS angstrom
7.692 0.000 0.000
-3.846 6.661 0.000
0.000 0.000 3.167
ATOMIC_POSITIONS crystal
Li 0.000 0.000 0.000
P 0.333 0.667 0.000
P 0.338 0.169 0.500
P 0.831 0.169 0.500
P 0.831 0.662 0.500
W 0.199 0.398 0.500
W 0.199 0.801 0.500
W 0.544 0.088 0.000
W 0.544 0.456 0.000
W 0.602 0.801 0.500
W 0.912 0.456 0.000
```

Results
Space-group type: No. 187
Density, g/cm³: 12.625
Energy, eV for the cell shown: -103.9

=====

Record 2
The following is a GGA-PBE calculation of a geometry-optimized FeHgBOs structure, from OQMD. Values from VASP.

Quantum ESPRESSO input file:
```
&SYSTEM
  ibrav = 0, nat = 4, ntyp = 4
/
ATOMIC_SPECIES
Fe 55.84 Fe.upf
Hg 200.59 Hg.upf
B 10.81 B.upf
Os 190.23 Os.upf
CELL_PARAMETERS angstrom
0.000 3.043 3.043
3.043 0.000 3.043
3.043 3.043 0.000
ATOMIC_POSITIONS crystal
Fe 0.000 0.000 0.000
Hg 0.500 0.500 0.500
B 0.750 0.750 0.750
Os 0.250 0.250 0.250
```

Results
E above lowest polymorph, meV/atom: 275
Space-group type: No. 216
Density, g/cm³: 13.474
Energy, eV for the cell shown: -20.7

=====

Record 3
The following is a GGA-PBE calculation of a geometry-optimized YAlFeAg structure, from OQMD. Values from VASP.

Quantum ESPRESSO input file:
```
&SYSTEM
  ibrav = 0, nat = 4, ntyp = 4
/
ATOMIC_SPECIES
Y 88.91 Y.upf
Al 26.98 Al.upf
Fe 55.84 Fe.upf
Ag 107.87 Ag.upf
CELL_PARAMETERS angstrom
0.000 3.279 3.279
3.279 0.000 3.279
3.279 3.279 0.000
ATOMIC_POSITIONS crystal
Y 0.000 0.000 0.000
Al 0.500 0.500 0.500
Fe 0.750 0.750 0.750
Ag 0.250 0.250 0.250
```

Results
E above lowest polymorph, meV/atom: 0
Space-group type: No. 216
Density, g/cm³: 6.584
Energy, eV for the cell shown: -21.4

=====

| no. | spin magnetization (μB per formula unit) |
| --- | --- |
| 1 | 0.002 |
| 2 | 3.092 |
| 3 | 1.915 |